DFT (PBE with a Hubbard U) results for a geometry-optimized CrTePb2O6 structure.

Properties
Total energy, eV/cell: -119.86
Calculated density, kg/m3: 8493

abc: 5.7804 5.7523 9.9606
angles: 90.00 125.44 90.00
Positions (direct):
Cr: 0.0000 0.0000 0.0000
Cr: 0.0000 0.5000 0.5000
Te: 0.5000 0.0000 0.5000
Te: 0.5000 0.5000 0.0000
Pb: 0.2579 0.0108 0.7505
Pb: 0.2579 0.4892 0.2505
Pb: 0.7421 0.5108 0.7495
Pb: 0.7421 0.9892 0.2495
O: 0.1978 0.0048 0.2520
O: 0.1978 0.4952 0.7520
O: 0.2684 0.7344 0.0306
O: 0.2684 0.7656 0.5306
O: 0.2978 0.2361 0.0304
O: 0.2978 0.2639 0.5304
O: 0.7022 0.7361 0.4696
O: 0.7022 0.7639 0.9696
O: 0.7316 0.2344 0.4694
O: 0.7316 0.2656 0.9694
O: 0.8022 0.5048 0.2480
O: 0.8022 0.9952 0.7480